i.
{
  "formula": "CrF",
  "functional": "GGA+U",
  "state": "optimized geometry",
  "cell": [[-3.664, -4.858, -1.995], [1.309, -3.200, 5.390], [-5.086, 2.676, 2.824]],
  "species": ["F", "F", "F", "F", "F", "F", "Cr", "Cr", "Cr", "Cr", "Cr", "Cr"],
  "fractional_positions": [[0.000, 0.250, 0.500], [0.500, 0.000, 0.750], [0.000, 0.750, 0.500], [0.250, 0.500, 0.000], [0.750, 0.500, 0.000], [0.500, 0.000, 0.250], [0.750, 0.000, 0.500], [0.000, 0.500, 0.250], [0.000, 0.500, 0.750], [0.500, 0.750, 0.000], [0.250, 0.000, 0.500], [0.500, 0.250, 0.000]],
  "sg": "Pm-3n",
  "crystal_system": "cubic"
}



ii.
{
  "formula": "CrF",
  "functional": "GGA+U",
  "state": "optimized geometry",
  "cell": [[-2.909, 8.697, 1.046], [-3.496, -5.257, -6.732], [-2.224, -0.974, 1.916]],
  "species": ["F", "F", "F", "F", "F", "F", "Cr", "Cr", "Cr", "Cr", "Cr", "Cr"],
  "fractional_positions": [[0.979, 0.306, 0.750], [0.673, 0.979, 0.250], [0.694, 0.673, 0.750], [0.327, 0.021, 0.750], [0.306, 0.327, 0.250], [0.021, 0.694, 0.250], [0.736, 0.547, 0.250], [0.547, 0.812, 0.750], [0.188, 0.736, 0.750], [0.264, 0.453, 0.750], [0.453, 0.188, 0.250], [0.812, 0.264, 0.250]],
  "sg": "P6_3/m",
  "crystal_system": "hexagonal"
}



iii.
{
  "formula": "CrF",
  "functional": "GGA+U",
  "state": "optimized geometry",
  "cell": [[-4.355, -0.989, 2.690], [2.273, -4.172, 2.147], [1.745, 2.967, 3.916]],
  "species": ["F", "F", "F", "F", "Cr", "Cr", "Cr", "Cr"],
  "fractional_positions": [[0.750, 0.750, 0.250], [0.750, 0.250, 0.750], [0.250, 0.750, 0.750], [0.250, 0.250, 0.250], [0.000, 0.500, 0.500], [0.500, 0.500, 0.000], [0.500, 0.000, 0.500], [0.000, 0.000, 0.000]],
  "sg": "F-43m",
  "crystal_system": "cubic"
}



iv.
{
  "formula": "CrF",
  "functional": "GGA+U",
  "state": "optimized geometry",
  "cell": [[4.707, 0.667, -0.154], [1.406, 2.787, -0.255], [-3.883, 0.977, 2.841]],
  "species": ["F", "Cr"],
  "fractional_positions": [[0.158, 0.546, 0.193], [0.658, 0.046, 0.193]],
  "sg": "P-1",
  "crystal_system": "triclinic"
}



Stability ranking, top and bottom: iv is the most stable and i is the least stable.



i.
{
  "formula": "CrFe2F",
  "functional": "GGA+U",
  "state": "optimized geometry",
  "cell": [[0.000, 3.141, 3.141], [3.141, 0.000, 3.141], [3.141, 3.141, 0.000]],
  "species": ["Fe", "Fe", "Cr", "F"],
  "fractional_positions": [[0.750, 0.750, 0.750], [0.250, 0.250, 0.250], [0.500, 0.500, 0.500], [0.000, 0.000, 0.000]],
  "sg": "Fm-3m",
  "crystal_system": "cubic"
}



ii.
{
  "formula": "CrFe2F",
  "functional": "GGA+U",
  "state": "optimized geometry",
  "cell": [[-6.571, 0.070, -2.194], [-0.692, -6.637, 1.862], [-4.479, -2.476, 2.398]],
  "species": ["Fe", "Fe", "Fe", "Fe", "F", "F", "Cr", "Cr"],
  "fractional_positions": [[0.375, 0.455, 0.750], [0.205, 0.625, 0.250], [0.875, 0.795, 0.750], [0.545, 0.125, 0.250], [0.500, 0.500, 0.000], [0.250, 0.750, 0.500], [0.750, 0.250, 0.500], [0.000, 0.000, 0.000]],
  "sg": "I-42d",
  "crystal_system": "tetragonal"
}



Stability ranking, top and bottom: ii is the most stable and i is the least stable.



i.
{
  "formula": "CrFeF3",
  "functional": "GGA+U",
  "state": "optimized geometry",
  "cell": [[4.100, 0.000, 0.000], [0.000, 4.100, 0.000], [0.000, 0.000, 4.100]],
  "species": ["Cr", "F", "F", "F", "Fe"],
  "fractional_positions": [[0.000, 0.000, 0.000], [0.000, 0.500, 0.000], [0.000, 0.000, 0.500], [0.500, 0.000, 0.000], [0.500, 0.500, 0.500]],
  "sg": "Pm-3m",
  "crystal_system": "cubic"
}



ii.
{
  "formula": "CrFeF3",
  "functional": "GGA+U",
  "state": "optimized geometry",
  "cell": [[-1.446, 3.771, -0.678], [-3.700, -1.562, -0.800], [-0.996, 0.330, 3.958]],
  "species": ["F", "F", "F", "Fe", "Cr"],
  "fractional_positions": [[0.000, 0.000, 0.500], [0.000, 0.500, 0.000], [0.500, 0.000, 0.000], [0.000, 0.000, 0.000], [0.500, 0.500, 0.500]],
  "sg": "Pm-3m",
  "crystal_system": "cubic"
}



Stability ranking, top and bottom: ii is the most stable and i is the least stable.